w:
# ScCrFe2, optimized geometry, DFT GGA-PBE
# * M_tot: 0.564 μB per atom
data_ScCrFe2
_cell_length_a 3.052
_cell_length_b 4.322
_cell_length_c 8.272
_cell_angle_alpha 90.00
_cell_angle_beta 90.00
_cell_angle_gamma 90.00
_space_group_name_H-M_alt 'I m m m'
_space_group_IT_number 71
_space_group_name_Hall '-I 2 2'
loop_
_atom_site_label
_atom_site_type_symbol
_atom_site_fract_x
_atom_site_fract_y
_atom_site_fract_z
Sc1 Sc 0.000 0.000 0.000
Cr1 Cr 0.000 0.000 0.500
Fe1 Fe 0.000 0.500 0.233

=====

x:
# ScCrFe2, optimized geometry, DFT GGA-PBE
# * M_tot: 0.311 μB per atom
data_ScCrFe2
_cell_length_a 6.632
_cell_length_b 6.632
_cell_length_c 5.217
_cell_angle_alpha 90.00
_cell_angle_beta 90.00
_cell_angle_gamma 90.00
_space_group_name_H-M_alt 'I -4 2 d'
_space_group_IT_number 122
_space_group_name_Hall 'I -4 2bw'
loop_
_atom_site_label
_atom_site_type_symbol
_atom_site_fract_x
_atom_site_fract_y
_atom_site_fract_z
Sc1 Sc 0.000 0.000 0.000
Cr1 Cr 0.000 0.000 0.500
Fe1 Fe 0.199 0.250 0.625

=====

y:
# ScCrFe2, optimized geometry, DFT GGA-PBE
# * M_tot: 0.459 μB per atom
data_ScCrFe2
_cell_length_a 2.718
_cell_length_b 4.164
_cell_length_c 4.894
_cell_angle_alpha 90.00
_cell_angle_beta 101.36
_cell_angle_gamma 90.00
_space_group_name_H-M_alt 'P 1 m 1'
_space_group_IT_number 6
loop_
_space_group_symop_operation_xyz
'x,y,z'
'x,-y,z'
loop_
_atom_site_label
_atom_site_type_symbol
_atom_site_fract_x
_atom_site_fract_y
_atom_site_fract_z
Sc1 Sc 0.000 0.000 0.000
Cr1 Cr 0.749 0.500 0.311
Fe1 Fe 0.301 0.500 0.759
Fe2 Fe 0.487 0.000 0.500

=====

z:
# ScCrFe2, optimized geometry, DFT GGA-PBE
# * M_tot: 0.293 μB per atom
data_ScCrFe2
_cell_length_a 2.860
_cell_length_b 2.860
_cell_length_c 6.388
_cell_angle_alpha 90.00
_cell_angle_beta 90.00
_cell_angle_gamma 90.00
_space_group_name_H-M_alt 'P 4/m m m'
_space_group_IT_number 123
_space_group_name_Hall '-P 4 2'
loop_
_atom_site_label
_atom_site_type_symbol
_atom_site_fract_x
_atom_site_fract_y
_atom_site_fract_z
Sc1 Sc 0.000 0.000 0.000
Cr1 Cr 0.000 0.000 0.500
Fe1 Fe 0.500 0.500 0.292

=====

Name the least stable of them. x.

=====

w:
# ScCrFe2, optimized geometry, DFT GGA-PBE
# * M_tot: 0.880 μB per atom
data_ScCrFe2
_cell_length_a 3.146
_cell_length_b 4.220
_cell_length_c 8.155
_cell_angle_alpha 90.00
_cell_angle_beta 90.00
_cell_angle_gamma 90.00
_space_group_name_H-M_alt 'C m m 2'
_space_group_IT_number 35
loop_
_space_group_symop_operation_xyz
'x,y,z'
'-x,-y,z'
'-x,y,z'
'x,-y,z'
'x+1/2,y+1/2,z'
'-x+1/2,-y+1/2,z'
'-x+1/2,y+1/2,z'
'x+1/2,-y+1/2,z'
loop_
_atom_site_label
_atom_site_type_symbol
_atom_site_fract_x
_atom_site_fract_y
_atom_site_fract_z
Sc1 Sc 0.000 0.000 0.000
Cr1 Cr 0.000 0.500 0.720
Fe1 Fe 0.000 0.000 0.497
Fe2 Fe 0.000 0.500 0.272

=====

x:
# ScCrFe2, optimized geometry, DFT GGA-PBE
# * M_tot: 0.557 μB per atom
data_ScCrFe2
_cell_length_a 5.235
_cell_length_b 8.025
_cell_length_c 2.656
_cell_angle_alpha 90.00
_cell_angle_beta 107.93
_cell_angle_gamma 90.00
_space_group_name_H-M_alt 'C 1 2/m 1'
_space_group_IT_number 12
loop_
_space_group_symop_operation_xyz
'x,y,z'
'-x,-y,-z'
'-x,y,-z'
'x,-y,z'
'x+1/2,y+1/2,z'
'-x+1/2,-y+1/2,-z'
'-x+1/2,y+1/2,-z'
'x+1/2,-y+1/2,z'
loop_
_atom_site_label
_atom_site_type_symbol
_atom_site_fract_x
_atom_site_fract_y
_atom_site_fract_z
Sc1 Sc 0.000 0.000 0.000
Cr1 Cr 0.000 0.500 0.000
Fe1 Fe 0.250 0.250 0.500

=====

y:
# ScCrFe2, optimized geometry, DFT GGA-PBE
# * M_tot: 0.443 μB per atom
data_ScCrFe2
_cell_length_a 2.990
_cell_length_b 4.215
_cell_length_c 8.617
_cell_angle_alpha 90.00
_cell_angle_beta 90.00
_cell_angle_gamma 90.00
_space_group_name_H-M_alt 'I m m 2'
_space_group_IT_number 44
loop_
_space_group_symop_operation_xyz
'x,y,z'
'-x,-y,z'
'-x,y,z'
'x,-y,z'
'x+1/2,y+1/2,z+1/2'
'-x+1/2,-y+1/2,z+1/2'
'-x+1/2,y+1/2,z+1/2'
'x+1/2,-y+1/2,z+1/2'
loop_
_atom_site_label
_atom_site_type_symbol
_atom_site_fract_x
_atom_site_fract_y
_atom_site_fract_z
Sc1 Sc 0.000 0.000 0.000
Cr1 Cr 0.000 0.500 0.769
Fe1 Fe 0.000 0.000 0.495
Fe2 Fe 0.000 0.500 0.233

=====

z:
# ScCrFe2, optimized geometry, DFT GGA-PBE
# * M_tot: 0.514 μB per atom
data_ScCrFe2
_cell_length_a 2.712
_cell_length_b 3.719
_cell_length_c 5.525
_cell_angle_alpha 90.00
_cell_angle_beta 103.14
_cell_angle_gamma 90.00
_space_group_name_H-M_alt 'P 1 2/m 1'
_space_group_IT_number 10
loop_
_space_group_symop_operation_xyz
'x,y,z'
'-x,-y,-z'
'-x,y,-z'
'x,-y,z'
loop_
_atom_site_label
_atom_site_type_symbol
_atom_site_fract_x
_atom_site_fract_y
_atom_site_fract_z
Sc1 Sc 0.000 0.000 0.000
Cr1 Cr 0.000 0.000 0.500
Fe1 Fe 0.430 0.500 0.706

=====

Name the least stable of them. w.

=====

w:
# ScCr2Fe2, optimized geometry, DFT GGA-PBE
# * M_tot: 0.000 μB per atom
data_ScCr2Fe2
_cell_length_a 3.879
_cell_length_b 3.879
_cell_length_c 9.220
_cell_angle_alpha 90.00
_cell_angle_beta 90.00
_cell_angle_gamma 90.00
_space_group_name_H-M_alt 'I 4/m m m'
_space_group_IT_number 139
_space_group_name_Hall '-I 4 2'
loop_
_atom_site_label
_atom_site_type_symbol
_atom_site_fract_x
_atom_site_fract_y
_atom_site_fract_z
Sc1 Sc 0.000 0.000 0.000
Cr1 Cr 0.000 0.500 0.250
Fe1 Fe 0.000 0.000 0.376

=====

x:
# ScCr2Fe2, optimized geometry, DFT GGA-PBE
# * M_tot: 0.000 μB per atom
data_ScCr2Fe2
_cell_length_a 7.021
_cell_length_b 7.021
_cell_length_c 2.593
_cell_angle_alpha 90.00
_cell_angle_beta 90.00
_cell_angle_gamma 90.00
_space_group_name_H-M_alt 'P 4/m b m'
_space_group_IT_number 127
_space_group_name_Hall '-P 4 2ab'
loop_
_atom_site_label
_atom_site_type_symbol
_atom_site_fract_x
_atom_site_fract_y
_atom_site_fract_z
Sc1 Sc 0.000 0.000 0.000
Cr1 Cr 0.147 0.353 0.000
Fe1 Fe 0.142 0.642 0.500

=====

Name the least stable of them. x.

=====

w:
# ScCrFe3, optimized geometry, DFT GGA-PBE
# * M_tot: 0.378 μB per atom
data_ScCrFe3
_cell_length_a 4.201
_cell_length_b 4.201
_cell_length_c 4.201
_cell_angle_alpha 90.00
_cell_angle_beta 90.00
_cell_angle_gamma 90.00
_space_group_name_H-M_alt 'P m -3 m'
_space_group_IT_number 221
_space_group_name_Hall '-P 4 2 3'
loop_
_atom_site_label
_atom_site_type_symbol
_atom_site_fract_x
_atom_site_fract_y
_atom_site_fract_z
Sc1 Sc 0.000 0.000 0.000
Cr1 Cr 0.500 0.500 0.500
Fe1 Fe 0.000 0.500 0.500

=====

x:
# ScCrFe3, optimized geometry, DFT GGA-PBE
# * M_tot: 0.000 μB per atom
data_ScCrFe3
_cell_length_a 4.203
_cell_length_b 4.203
_cell_length_c 4.203
_cell_angle_alpha 90.00
_cell_angle_beta 90.00
_cell_angle_gamma 90.00
_space_group_name_H-M_alt 'P m -3 m'
_space_group_IT_number 221
_space_group_name_Hall '-P 4 2 3'
loop_
_atom_site_label
_atom_site_type_symbol
_atom_site_fract_x
_atom_site_fract_y
_atom_site_fract_z
Sc1 Sc 0.000 0.000 0.000
Cr1 Cr 0.500 0.500 0.500
Fe1 Fe 0.000 0.000 0.500

=====

Name the least stable of them. x.

=====

w:
# Cr2FeSe, optimized geometry, DFT GGA-PBE
# * M_tot: 0.439 μB per atom
data_Cr2FeSe
_cell_length_a 2.8749
_cell_length_b 2.8749
_cell_length_c 22.2975
_cell_angle_alpha 90.00
_cell_angle_beta 90.00
_cell_angle_gamma 120.00
_space_group_name_H-M_alt 'R 3 m'
_space_group_IT_number 160
_space_group_name_Hall 'R 3 -2"'
loop_
_atom_site_label
_atom_site_type_symbol
_atom_site_fract_x
_atom_site_fract_y
_atom_site_fract_z
Cr1 Cr 0.0000 0.0000 0.0000
Cr2 Cr 0.0000 0.0000 0.2598
Fe1 Fe 0.0000 0.0000 0.7511
Se1 Se 0.0000 0.0000 0.5042

=====

x:
# Cr2FeSe, optimized geometry, DFT GGA-PBE
# * M_tot: 0.168 μB per atom
data_Cr2FeSe
_cell_length_a 3.008
_cell_length_b 3.960
_cell_length_c 8.142
_cell_angle_alpha 90.00
_cell_angle_beta 90.00
_cell_angle_gamma 90.00
_space_group_name_H-M_alt 'I m m m'
_space_group_IT_number 71
_space_group_name_Hall '-I 2 2'
loop_
_atom_site_label
_atom_site_type_symbol
_atom_site_fract_x
_atom_site_fract_y
_atom_site_fract_z
Cr1 Cr 0.000 0.000 0.238
Fe1 Fe 0.000 0.500 0.000
Se1 Se 0.000 0.500 0.500

=====

Name the least stable of them. w.